1.
## MgCd4Hg7 (PBE-GGA)

Data for an optimized crystal structure of MgCd4Hg7.

Output
The energy of formation from the pure elements comes out at 0.0100 eV/atom. The theoretical density comes out at 9.63 g cm⁻³. The total energy is -0.604 eV/atom. The size of the total moment is 0.000 μB per atom.

abc: 4.2162 4.2162 21.0317
angles: 90.00 90.00 120.00
Closest atoms and distances in Å follow each position.
Fractional positions:
Hg: 0.0000 0.0000 0.7423  3 Cd 3.01, 3 Hg 3.07
Hg: 0.3333 0.6667 0.1686  3 Cd 3.02, 3 Hg 3.07
Hg: 0.3333 0.6667 0.4242  3 Mg 2.91, 3 Cd 2.99
Hg: 0.6667 0.3333 0.5758  3 Mg 2.91, 3 Cd 2.99
Hg: 0.0000 0.0000 0.2577  3 Cd 3.01, 3 Hg 3.07
Hg: 0.6667 0.3333 0.8314  3 Cd 3.02, 3 Hg 3.07
Hg: 0.0000 0.0000 0.0000  6 Cd 3.01
Cd: 0.3333 0.6667 0.6585  6 Hg 2.99-3.01
Cd: 0.3333 0.6667 0.9161  6 Hg 3.01-3.02
Cd: 0.6667 0.3333 0.3415  6 Hg 2.99-3.01
Cd: 0.6667 0.3333 0.0839  6 Hg 3.01-3.02
Mg: 0.0000 0.0000 0.5000  6 Hg 2.91

2.
## Mg2Cd4Hg3 (PBE-GGA)

Data for an optimized crystal structure of Mg2Cd4Hg3.

Output
The energy of formation from the pure elements comes out at -0.0563 eV/atom. The theoretical density comes out at 8.89 g cm⁻³. The total energy is -0.918 eV/atom. The size of the total moment is 0.000 μB per atom.

abc: 5.4579 8.8799 8.8799
angles: 76.57 81.33 81.33
Closest atoms and distances in Å follow each position.
Fractional positions:
Cd: 0.8653 0.4010 0.1500  2 Cd 3.06-3.13, 5 Hg 3.07-3.15, 3 Mg 3.12-3.14
Cd: 0.0247 0.8181 0.0775  5 Hg 3.02-3.25, 4 Cd 3.06-3.19, 1 Mg 3.16
Cd: 0.4753 0.9225 0.1819  5 Hg 3.02-3.25, 4 Cd 3.06-3.19, 1 Mg 3.16
Cd: 0.1347 0.5990 0.8500  2 Cd 3.06-3.13, 5 Hg 3.07-3.15, 3 Mg 3.12-3.14
Cd: 0.3653 0.1500 0.4010  2 Cd 3.06-3.13, 5 Hg 3.07-3.15, 3 Mg 3.12-3.14
Cd: 0.5247 0.0775 0.8181  5 Hg 3.02-3.25, 4 Cd 3.06-3.19, 1 Mg 3.16
Cd: 0.9753 0.1819 0.9225  5 Hg 3.02-3.25, 4 Cd 3.06-3.19, 1 Mg 3.16
Cd: 0.6347 0.8500 0.5990  2 Cd 3.06-3.13, 5 Hg 3.07-3.15, 3 Mg 3.12-3.14
Hg: 0.5794 0.7036 0.9592  2 Mg 2.98-3.12, 8 Cd 3.02-3.25
Hg: 0.9206 0.0408 0.2964  2 Mg 2.98-3.12, 8 Cd 3.02-3.25
Hg: 0.2500 0.3866 0.6134  6 Mg 3.05-3.17, 4 Cd 3.07-3.22
Hg: 0.0794 0.9592 0.7036  2 Mg 2.98-3.12, 8 Cd 3.02-3.25
Hg: 0.7500 0.6134 0.3866  6 Mg 3.05-3.17, 4 Cd 3.07-3.22
Hg: 0.4206 0.2964 0.0408  2 Mg 2.98-3.12, 8 Cd 3.02-3.25
Mg: 0.8122 0.2618 0.5109  5 Hg 2.98-3.17, 1 Mg 3.11, 4 Cd 3.12-3.16
Mg: 0.6878 0.4891 0.7382  5 Hg 2.98-3.17, 1 Mg 3.11, 4 Cd 3.12-3.16
Mg: 0.3122 0.5109 0.2618  5 Hg 2.98-3.17, 1 Mg 3.11, 4 Cd 3.12-3.16
Mg: 0.1878 0.7382 0.4891  5 Hg 2.98-3.17, 1 Mg 3.11, 4 Cd 3.12-3.16

3.
## MgCd2Hg4 (PBE-GGA)

Data for an optimized crystal structure of MgCd2Hg4.

Output
The energy of formation from the pure elements comes out at 0.0007 eV/atom. The theoretical density comes out at 10.14 g cm⁻³. The total energy is -0.661 eV/atom. The size of the total moment is 0.000 μB per atom.

abc: 7.1367 6.1985 8.2906
angles: 90.00 110.14 90.00
Closest atoms and distances in Å follow each position.
Fractional positions:
Mg: 0.7649 0.2500 0.7821  4 Hg 2.77-2.91, 1 Cd 3.06
Mg: 0.2351 0.7500 0.2179  4 Hg 2.77-2.91, 1 Cd 3.06
Cd: 0.6586 0.7500 0.5698  6 Hg 3.04-3.20, 1 Mg 3.40
Cd: 0.3414 0.2500 0.4302  6 Hg 3.04-3.20, 1 Mg 3.40
Cd: 0.7844 0.7500 0.0256  5 Hg 2.94-3.11, 1 Mg 3.06
Cd: 0.2156 0.2500 0.9744  5 Hg 2.94-3.11, 1 Mg 3.06
Hg: 0.0464 0.7500 0.4596  1 Mg 2.77
Hg: 0.0724 0.7500 0.8439  1 Mg 2.91, 2 Cd 2.94-3.04, 3 Hg 3.13-3.16
Hg: 0.9276 0.2500 0.1561  1 Mg 2.91, 2 Cd 2.94-3.04, 3 Hg 3.13-3.16
Hg: 0.9536 0.2500 0.5404  1 Mg 2.77
Hg: 0.4225 0.9962 0.7717  1 Mg 2.88, 4 Cd 3.03-3.15, 3 Hg 3.05-3.16
Hg: 0.5775 0.0038 0.2283  1 Mg 2.88, 4 Cd 3.03-3.15, 3 Hg 3.05-3.16
Hg: 0.4225 0.5038 0.7717  1 Mg 2.88, 4 Cd 3.03-3.15, 3 Hg 3.05-3.16
Hg: 0.5775 0.4962 0.2283  1 Mg 2.88, 4 Cd 3.03-3.15, 3 Hg 3.05-3.16

4.
## MgCd5Hg12 (PBE-GGA)

Data for an optimized crystal structure of MgCd5Hg12.

Output
The energy of formation from the pure elements comes out at 0.0221 eV/atom. The theoretical density comes out at 11.17 g cm⁻³. The total energy is -0.522 eV/atom. The size of the total moment is 0.000 μB per atom.

abc: 5.3395 5.8672 15.9572
angles: 89.93 89.84 62.93
Closest atoms and distances in Å follow each position.
Fractional positions:
Cd: 0.6696 0.6607 0.0000  2 Cd 3.15, 6 Hg 3.16-3.27, 3 Mg 3.20-3.45
Cd: 0.1678 0.6643 0.5000  6 Cd 3.17-3.51, 6 Hg 3.19-3.34
Cd: 0.8322 0.3357 0.5000  6 Cd 3.17-3.51, 6 Hg 3.19-3.34
Cd: 0.5000 0.0000 0.5000  6 Hg 3.14-3.34, 6 Cd 3.19-3.47
Cd: 0.3304 0.3393 0.0000  2 Cd 3.15, 6 Hg 3.16-3.27, 3 Mg 3.20-3.45
Hg: 0.0071 0.3269 0.8358  8 Hg 3.15-3.52, 2 Cd 3.16-3.27, 1 Mg 3.26
Hg: 0.6751 0.0000 0.8404  1 Mg 3.09, 6 Hg 3.15-3.25, 2 Cd 3.24
Hg: 0.5101 0.3323 0.6685  8 Hg 3.18-3.49, 3 Cd 3.19-3.34
Hg: 0.9929 0.6731 0.1642  8 Hg 3.15-3.52, 2 Cd 3.16-3.27, 1 Mg 3.26
Hg: 0.8424 0.6677 0.6685  8 Hg 3.18-3.49, 3 Cd 3.19-3.34
Hg: 0.6659 0.3269 0.1642  8 Hg 3.15-3.52, 2 Cd 3.16-3.27, 1 Mg 3.26
Hg: 0.3249 0.0000 0.1596  1 Mg 3.09, 6 Hg 3.15-3.25, 2 Cd 3.24
Hg: 0.1576 0.3323 0.3315  8 Hg 3.18-3.49, 3 Cd 3.19-3.34
Hg: 0.4899 0.6677 0.3315  8 Hg 3.18-3.49, 3 Cd 3.19-3.34
Hg: 0.1764 0.0000 0.6644  3 Cd 3.14-3.30, 8 Hg 3.18-3.49
Hg: 0.3341 0.6731 0.8358  8 Hg 3.15-3.52, 2 Cd 3.16-3.27, 1 Mg 3.26
Hg: 0.8236 0.0000 0.3356  3 Cd 3.14-3.30, 8 Hg 3.18-3.49
Mg: 0.0000 0.0000 0.0000  6 Hg 3.09-3.26, 6 Cd 3.20-3.45

- Which value of theoretical density does entry 3 give?
  10.14 g cm⁻³

- theoretical density of number 2 (Mg2Cd4Hg3)?
  8.89 g cm⁻³

- Which formula does entry 2 have?
  Mg2Cd4Hg3

- Number 3 is which compound?
  MgCd2Hg4